# 1
{
  "formula": "CuOsRh2",
  "functional": "GGA-PBE",
  "state": "optimized geometry",
  "lattice": [[-1.396, 2.225, 4.473], [1.396, -2.225, 4.473], [1.396, 2.225, -4.473]],
  "species": ["Cu", "Os", "Rh", "Rh"],
  "fractional_positions": [[0.000, 0.000, 0.000], [0.232, 0.732, 0.500], [0.490, 0.490, 0.000], [0.767, 0.267, 0.500]],
  "final_energy_ev_per_atom": -7.216,
  "crystal_system": "orthorhombic",
  "formation_enthalpy_0k_kj_per_mol_fu": 112,
  "magnetic_moment_mub_per_atom": 0.00,
  "relative_energy_mev_per_atom": 268
}

=====

# 2
{
  "formula": "CdHgS2",
  "functional": "GGA-PBE",
  "state": "optimized geometry",
  "lattice": [[3.910, 0.000, 0.000], [0.000, 3.910, 0.000], [0.000, 0.000, 5.547]],
  "species": ["Cd", "Hg", "S", "S"],
  "fractional_positions": [[0.000, 0.000, 0.000], [0.500, 0.500, 0.500], [0.000, 0.000, 0.500], [0.500, 0.500, 0.000]],
  "final_energy_ev_per_atom": -2.592,
  "crystal_system": "tetragonal",
  "magnetic_moment_mub_per_atom": 0.00,
  "relative_energy_mev_per_atom": 159
}

=====

# 3
{
  "formula": "Nd6NiRu2Cl3",
  "functional": "GGA-PBE",
  "state": "optimized geometry",
  "lattice": [[3.486, -6.036, 0.000], [3.486, 6.036, 0.000], [-2.322, 0.000, 7.651]],
  "species": ["Nd", "Nd", "Nd", "Nd", "Nd", "Nd", "Ni", "Ru", "Ru", "Cl", "Cl", "Cl"],
  "fractional_positions": [[0.096, 0.432, 0.794], [0.233, 0.233, 0.206], [0.432, 0.096, 0.794], [0.568, 0.904, 0.206], [0.767, 0.767, 0.794], [0.904, 0.568, 0.206], [0.500, 0.500, 0.000], [0.166, 0.834, 0.000], [0.834, 0.166, 0.000], [0.000, 0.000, 0.500], [0.331, 0.669, 0.500], [0.669, 0.331, 0.500]],
  "final_energy_ev_per_atom": -5.788,
  "crystal_system": "monoclinic",
  "magnetic_moment_mub_per_atom": 0.00
}

=====

# 4
{
  "formula": "MgScPt",
  "functional": "GGA-PBE",
  "state": "optimized geometry",
  "lattice": [[3.734, 0.000, 0.000], [-1.867, 3.234, 0.000], [0.000, 0.000, 5.649]],
  "species": ["Mg", "Sc", "Pt"],
  "fractional_positions": [[0.000, 0.000, 0.000], [0.333, 0.667, 0.542], [0.667, 0.333, 0.281]],
  "final_energy_ev_per_atom": -5.181,
  "crystal_system": "trigonal",
  "formation_enthalpy_0k_kj_per_mol_fu": -152,
  "magnetic_moment_mub_per_atom": 0.00
}

=====

# 5
{
  "formula": "NbCuNi2Mo",
  "functional": "GGA-PBE",
  "state": "optimized geometry",
  "lattice": [[4.188, 0.000, 0.000], [0.000, 4.188, 0.000], [0.000, 0.000, 4.571]],
  "species": ["Nb", "Cu", "Ni", "Ni", "Mo"],
  "fractional_positions": [[0.000, 0.000, 0.000], [0.000, 0.000, 0.500], [0.000, 0.500, 0.500], [0.500, 0.000, 0.500], [0.500, 0.500, 0.000]],
  "final_energy_ev_per_atom": -6.175,
  "crystal_system": "tetragonal",
  "formation_enthalpy_0k_kj_per_mol_fu": 549,
  "magnetic_moment_mub_per_atom": 0.00
}

=====

# 6
{
  "formula": "Sc12In3Rh",
  "functional": "GGA-PBE",
  "state": "optimized geometry",
  "lattice": [[4.536, 0.000, 0.000], [0.000, 4.536, 0.000], [0.000, 0.000, 17.397]],
  "species": ["Sc", "Sc", "Sc", "Sc", "Sc", "Sc", "Sc", "Sc", "Sc", "Sc", "Sc", "Sc", "In", "In", "In", "Rh"],
  "fractional_positions": [[0.000, 0.000, 0.000], [0.000, 0.000, 0.239], [0.000, 0.000, 0.500], [0.000, 0.000, 0.761], [0.000, 0.500, 0.108], [0.000, 0.500, 0.370], [0.000, 0.500, 0.630], [0.000, 0.500, 0.892], [0.500, 0.000, 0.108], [0.500, 0.000, 0.370], [0.500, 0.000, 0.630], [0.500, 0.000, 0.892], [0.500, 0.500, 0.242], [0.500, 0.500, 0.500], [0.500, 0.500, 0.758], [0.500, 0.500, 0.000]],
  "final_energy_ev_per_atom": -6.023,
  "crystal_system": "tetragonal",
  "formation_enthalpy_0k_kj_per_mol_fu": -466,
  "magnetic_moment_mub_per_atom": 0.22
}